Compound: Cs2AgSnCl5
Source: Alexandria
Functional: PBE
Structure: optimized geometry

## Properties
Space-group type: Cmc2_1 (36)
ΔE_f (raw) (meV per atom): -1308.2

Lattice parameters (Å, degrees): 9.7964 9.7964 14.0565 90.00 90.00 151.05
Atoms (fractional coordinates):
Cs  0.1036  0.8964  0.5000
Cs  0.1534  0.8466  0.1397
Cs  0.8466  0.1534  0.6397
Cs  0.8964  0.1036  0.0000
Ag  0.2330  0.7670  0.8884
Ag  0.7670  0.2330  0.3884
Sn  0.4502  0.5498  0.2749
Sn  0.5498  0.4502  0.7749
Cl  0.0920  0.9080  0.8552
Cl  0.2819  0.7181  0.4708
Cl  0.3370  0.6630  0.1795
Cl  0.3596  0.6404  0.8255
Cl  0.4860  0.5140  0.6053
Cl  0.5140  0.4860  0.1053
Cl  0.6404  0.3596  0.3255
Cl  0.6630  0.3370  0.6795
Cl  0.7181  0.2819  0.9708
Cl  0.9080  0.0920  0.3552

=====

Compound: Mn2TcTe
Source: Alexandria
Functional: PBE
Structure: optimized geometry

## Properties
Space-group type: R-3m (166)
ΔE_f (raw) (meV per atom): 499.2

Lattice parameters (Å, degrees): 8.5242 8.5242 8.5242 20.76 20.76 20.76
Atoms (fractional coordinates):
Mn  0.2437  0.2437  0.2437
Mn  0.7563  0.7563  0.7563
Tc  0.5000  0.5000  0.5000
Te  0.0000  0.0000  0.0000